No. 1
The following is a DFT calculation (PBE-GGA) of K2MgU2Te6 after structural relaxation.

abc: 7.6093 7.6093 8.8104
angles: 98.29 98.29 120.12
With the nearest neighbours (Å) after each atom.
Fractional coordinates of all 11 atoms:
K  0.1666  0.8334  0.0000  6 Te 3.56-3.57
K  0.8334  0.1666  0.0000  6 Te 3.56-3.57
Mg  0.0000  0.0000  0.5000  6 Te 3.05
U  0.3330  0.6670  0.5000  6 Te 3.06-3.07
U  0.6670  0.3330  0.5000  6 Te 3.06-3.07
Te  0.0695  0.3997  0.7033  1 Mg 3.05, 2 U 3.06-3.07
Te  0.2645  0.2645  0.2978  1 Mg 3.05, 2 U 3.06
Te  0.3997  0.0695  0.7033  1 Mg 3.05, 2 U 3.06-3.07
Te  0.6003  0.9305  0.2967  1 Mg 3.05, 2 U 3.06-3.07
Te  0.7355  0.7355  0.7022  1 Mg 3.05, 2 U 3.06
Te  0.9305  0.6003  0.2967  1 Mg 3.05, 2 U 3.06-3.07

Computed properties:
size of the total moment: 4.000 Bohr magnetons per cell
final energy: -4.941 eV per atom
crystal system: monoclinic
formation energy from raw total energies: -0.8302 eV per atom

***

No. 2
The following is a DFT calculation (PBE-GGA) of K4MgU3Te8 after structural relaxation.

abc: 9.7503 9.7503 9.7503
angles: 54.93 54.93 54.93
With the nearest neighbours (Å) after each atom.
Fractional coordinates of all 16 atoms:
K  0.0000  0.0000  0.0000  6 Te 3.59
K  0.0000  0.5000  0.5000  6 Te 3.52-3.54
K  0.5000  0.0000  0.5000  6 Te 3.52-3.54
K  0.5000  0.5000  0.0000  6 Te 3.52-3.54
Mg  0.5000  0.5000  0.5000  6 Te 3.07
U  0.0000  0.0000  0.5000  6 Te 3.12-3.13
U  0.0000  0.5000  0.0000  6 Te 3.12-3.13
U  0.5000  0.0000  0.0000  6 Te 3.12-3.13
Te  0.2374  0.2374  0.2374  3 U 3.13
Te  0.2412  0.7325  0.7325  1 Mg 3.07, 2 U 3.12
Te  0.2675  0.2675  0.7588  1 Mg 3.07, 2 U 3.12
Te  0.2675  0.7588  0.2675  1 Mg 3.07, 2 U 3.12
Te  0.7325  0.2412  0.7325  1 Mg 3.07, 2 U 3.12
Te  0.7325  0.7325  0.2412  1 Mg 3.07, 2 U 3.12
Te  0.7588  0.2675  0.2675  1 Mg 3.07, 2 U 3.12
Te  0.7626  0.7626  0.7626  3 U 3.13

Computed properties:
size of the total moment: 8.000 Bohr magnetons per cell
final energy: -4.939 eV per atom
crystal system: trigonal
formation energy from raw total energies: -0.8772 eV per atom

***

No. 3
The following is a DFT calculation (PBE-GGA) of K3Mg2UTe6 after structural relaxation.

abc: 7.6140 7.6140 8.6000
angles: 98.49 98.49 120.02
With the nearest neighbours (Å) after each atom.
Fractional coordinates of all 12 atoms:
K  0.0000  0.0000  0.0000  6 Te 3.53-3.54
K  0.3328  0.6672  0.0000  6 Te 3.53-3.54
K  0.6672  0.3328  0.0000  6 Te 3.53-3.54
Mg  0.1664  0.8336  0.5000  6 Te 3.03
Mg  0.8336  0.1664  0.5000  6 Te 3.03
U  0.5000  0.5000  0.5000  6 Te 3.02
Te  0.1008  0.4331  0.2994  1 U 3.02, 2 Mg 3.03
Te  0.2348  0.2348  0.7007  1 U 3.02, 2 Mg 3.03
Te  0.4331  0.1008  0.2994  1 U 3.02, 2 Mg 3.03
Te  0.5669  0.8992  0.7006  1 U 3.02, 2 Mg 3.03
Te  0.7652  0.7652  0.2993  1 U 3.02, 2 Mg 3.03
Te  0.8992  0.5669  0.7006  1 U 3.02, 2 Mg 3.03

Computed properties:
size of the total moment: 1.000 Bohr magnetons per cell
final energy: -3.948 eV per atom
crystal system: monoclinic
formation energy from raw total energies: -0.8961 eV per atom

***

No. 4
The following is a DFT calculation (PBE-GGA) of K2MgUTe4 after structural relaxation.

abc: 7.7005 4.4733 8.6105
angles: 90.00 107.89 90.00
With the nearest neighbours (Å) after each atom.
Fractional coordinates of all 8 atoms:
K  0.0000  0.0000  0.0000  6 Te 3.51-3.58
K  0.5000  0.5000  0.0000  6 Te 3.51-3.58
Mg  0.0000  0.5000  0.5000  6 Te 3.02-3.11
U  0.5000  0.0000  0.5000  6 Te 3.06-3.08
Te  0.2289  0.0000  0.6962  2 Mg 3.02, 1 U 3.06
Te  0.2654  0.5000  0.2910  2 U 3.08, 1 Mg 3.11
Te  0.7346  0.5000  0.7090  2 U 3.08, 1 Mg 3.11
Te  0.7711  0.0000  0.3038  2 Mg 3.02, 1 U 3.06

Computed properties:
size of the total moment: 2.000 Bohr magnetons per cell
final energy: -4.352 eV per atom
crystal system: monoclinic
formation energy from raw total energies: -0.8963 eV per atom

***

| no. | N(E_F) (states/eV/f.u.) |
| --- | --- |
| 1 | 10.83 |
| 2 | 19.62 |
| 3 | 0.81 |
| 4 | 4.41 |